[1]
Here is a relaxed structure of Ca2TcSe from the Alexandria database. Energies are from PBE.

extended XYZ file:
```
8
Lattice="-3.9492 3.9492 3.2129 3.9492 -3.9492 3.2129 3.9492 3.9492 -3.2129" Properties=species:S:1:pos:R:3 pbc="T T T"
Ca 5.9238 1.8876 -0.8032
Ca 1.8876 1.9746 0.8032
Ca -1.9746 2.0616 2.4097
Ca 2.0616 1.9746 4.0161
Tc 3.9492 0.0000 1.6064
Tc 0.0000 0.0000 3.2129
Se 0.0000 0.0000 0.0000
Se 0.0000 3.9492 1.6064
```

## Properties
As for the density of states at the Fermi level: 7.123 states/eV/cell. As for the uncorrected formation energy: 117 meV/atom. The space group is I-42d (122).


[2]
Here is a relaxed structure of TbGa8Tc4 from the Alexandria database. Energies are from PBE.

extended XYZ file:
```
13
Lattice="-4.5144 4.5144 2.6177 4.5144 -4.5144 2.6177 4.5144 4.5144 -2.6177" Properties=species:S:1:pos:R:3 pbc="T T T"
Tb 0.0000 0.0000 0.0000
Ga 3.1237 0.0000 0.0000
Ga 5.9051 0.0000 0.0000
Ga 4.5144 2.6005 0.0000
Ga 0.0000 3.1237 0.0000
Ga 2.6005 4.5144 0.0000
Ga 1.9139 0.0000 2.6177
Ga 0.0000 5.9051 0.0000
Ga 0.0000 1.9139 2.6177
Tc 2.2572 2.2572 -1.3089
Tc 2.2572 -2.2572 1.3089
Tc -2.2572 2.2572 1.3089
Tc 2.2572 2.2572 1.3089
```

## Properties
As for the density of states at the Fermi level: 5.328 states/eV/cell. As for the formation energy from the elements: -0.28 eV/atom. The space group is I4/mmm (139).


[3]
Here is a relaxed structure of TlRh3Au from the Alexandria database. Energies are from PBE.

extended XYZ file:
```
5
Lattice="4.9128 0.0000 0.0000 0.0000 4.9128 0.0000 0.0000 0.0000 4.9128" Properties=species:S:1:pos:R:3 pbc="T T T"
Tl 0.0000 0.0000 0.0000
Rh 0.0000 2.4564 2.4564
Rh 2.4564 0.0000 2.4564
Rh 2.4564 2.4564 0.0000
Au 2.4564 2.4564 2.4564
```

## Properties
As for the density of states at the Fermi level: 13.144 states/eV/cell. As for the distance to the lowest polymorph of the same formula: 0.000 eV/atom. As for the formation energy from the elements: 1.35 eV/atom. The space group is Pm-3m (221).


[4]
Here is a relaxed structure of Sn4Ge from the Alexandria database. Energies are from PBE.

extended XYZ file:
```
5
Lattice="5.3842 0.0000 0.0000 0.0000 5.3842 0.0000 0.0000 0.0000 5.3842" Properties=species:S:1:pos:R:3 pbc="T T T"
Sn 0.0000 0.0000 0.0000
Sn 0.0000 2.6921 2.6921
Sn 2.6921 0.0000 2.6921
Sn 2.6921 2.6921 0.0000
Ge 2.6921 2.6921 2.6921
```

## Properties
As for the density of states at the Fermi level: 4.523 states/eV/cell. As for the formation energy from the elements: 0.47 eV/atom. The space group is Pm-3m (221).


[5]
Here is a relaxed structure of CdInGaCl6 from the Alexandria database. Energies are from PBE.

extended XYZ file:
```
9
Lattice="6.6327 0.0000 0.0000 -3.3163 5.7441 0.0000 0.0000 0.0000 6.9695" Properties=species:S:1:pos:R:3 pbc="T T T"
Cd 0.0000 0.0000 0.0000
In 3.3164 1.9147 3.4847
Ga 0.0000 3.8294 0.0000
Cl -0.8732 2.0805 1.4124
Cl -1.9512 3.9476 5.5571
Cl 0.8732 2.0805 5.5571
Cl -1.0780 5.4600 1.4124
Cl 1.9512 3.9476 1.4124
Cl 1.0780 5.4600 5.5571
```

## Properties
As for the density of states at the Fermi level: 0.000 states/eV/cell. As for the uncorrected formation energy: -1016 meV/atom. The space group is P312 (149).


[6]
Here is a relaxed structure of La3PmSmHo from the Alexandria database. Energies are from PBE.

extended XYZ file:
```
12
Lattice="10.4967 -2.9556 0.0000 10.4967 2.9556 0.0000 -0.1210 0.0000 6.8410" Properties=species:S:1:pos:R:3 pbc="T T T"
La 0.3068 0.0000 1.7454
La 5.8593 0.0000 1.5250
La 7.0560 0.0000 5.0489
La 13.8164 0.0000 1.7921
La 15.0132 0.0000 5.3160
La 20.5656 0.0000 5.0956
Pm 3.0515 0.0000 3.6052
Pm 17.8210 0.0000 3.2358
Sm 9.2169 0.0000 1.6276
Sm 11.6555 0.0000 5.2135
Ho 2.8359 0.0000 6.7330
Ho 18.0366 0.0000 0.1080
```

## Properties
As for the density of states at the Fermi level: 16.641 states/eV/cell. As for the formation energy from the elements: 0.15 eV/atom. The space group is C2/m (12).


What is the formula in the second record? TbGa8Tc4